[1]
Compound: La2BeNi3P4
Source: Alexandria via LeMat-Bulk
Functional: GGA-PBE
Structure: optimized geometry

Geometry as CIF:
```
data_La2BeNi3P4
_chemical_formula_sum 'La2 Be1 Ni3 P4'
_cell_length_a 4.080
_cell_length_b 4.080
_cell_length_c 9.300
_cell_angle_alpha 90.00
_cell_angle_beta 90.00
_cell_angle_gamma 90.00
_space_group_name_H-M_alt 'P -4 m 2'
_space_group_IT_number 115
_space_group_name_Hall 'P -4 -2'
loop_
_atom_site_label
_atom_site_type_symbol
_atom_site_fract_x
_atom_site_fract_y
_atom_site_fract_z
La1 La 0.000 0.500 0.248
Be1 Be 0.000 0.000 0.500
Ni1 Ni 0.000 0.500 0.888
Ni2 Ni 0.500 0.500 0.500
P1 P 0.000 0.000 0.000
P2 P 0.000 0.500 0.629
P3 P 0.500 0.500 0.000
```

crystal system = tetragonal
M_tot = 0.00 μB per formula unit
calculated formation energy = -0.928 eV/atom
N(E_F) = 0.37 states/eV/atom

[2]
Compound: La2BeNiPd6
Source: Alexandria via LeMat-Bulk
Functional: GGA-PBE
Structure: optimized geometry

Geometry as CIF:
```
data_La2BeNiPd6
_chemical_formula_sum 'La2 Be1 Ni1 Pd6'
_cell_length_a 5.871
_cell_length_b 5.883
_cell_length_c 7.100
_cell_angle_alpha 66.03
_cell_angle_beta 65.89
_cell_angle_gamma 60.30
_space_group_name_H-M_alt 'P -1'
_space_group_IT_number 2
_space_group_name_Hall '-P 1'
loop_
_atom_site_label
_atom_site_type_symbol
_atom_site_fract_x
_atom_site_fract_y
_atom_site_fract_z
La1 La 0.226 0.229 0.322
Be1 Be 0.000 0.000 0.000
Ni1 Ni 0.500 0.500 0.500
Pd1 Pd 0.238 0.710 0.810
Pd2 Pd 0.240 0.237 0.801
Pd3 Pd 0.285 0.764 0.194
```

crystal system = triclinic
M_tot = 0.00 μB per formula unit
calculated formation energy = -0.572 eV/atom
N(E_F) = 0.22 states/eV/atom

[3]
Compound: LaPmBeNi
Source: Alexandria via LeMat-Bulk
Functional: GGA-PBE
Structure: optimized geometry

Geometry as CIF:
```
data_LaPmBeNi
_chemical_formula_sum 'La4 Pm4 Be4 Ni4'
_cell_length_a 7.079
_cell_length_b 7.079
_cell_length_c 7.079
_cell_angle_alpha 90.00
_cell_angle_beta 90.00
_cell_angle_gamma 90.00
_space_group_name_H-M_alt 'F -4 3 m'
_space_group_IT_number 216
_space_group_name_Hall 'F -4 2 3'
loop_
_atom_site_label
_atom_site_type_symbol
_atom_site_fract_x
_atom_site_fract_y
_atom_site_fract_z
La1 La 0.000 0.000 0.000
Pm1 Pm 0.000 0.000 0.500
Be1 Be 0.250 0.250 0.250
Ni1 Ni 0.250 0.250 0.750
```

crystal system = cubic
M_tot = 0.00 μB per formula unit
calculated formation energy = 0.006 eV/atom
N(E_F) = 0.75 states/eV/atom

[4]
Compound: La2Be3NiPt12
Source: Alexandria via LeMat-Bulk
Functional: GGA-PBE
Structure: optimized geometry

Geometry as CIF:
```
data_La2Be3NiPt12
_chemical_formula_sum 'La6 Be9 Ni3 Pt36'
_cell_length_a 7.9094
_cell_length_b 7.9094
_cell_length_c 18.3806
_cell_angle_alpha 90.00
_cell_angle_beta 90.00
_cell_angle_gamma 120.00
_space_group_name_H-M_alt 'R -3 m'
_space_group_IT_number 166
_space_group_name_Hall '-R 3 2"'
loop_
_atom_site_label
_atom_site_type_symbol
_atom_site_fract_x
_atom_site_fract_y
_atom_site_fract_z
La1 La 0.0000 0.0000 0.1152
Be1 Be 0.0000 0.5000 0.0000
Ni1 Ni 0.0000 0.0000 0.5000
Pt1 Pt 0.0007 0.5004 0.8772
Pt2 Pt 0.0288 0.5144 0.3679
```

crystal system = trigonal
M_tot = 0.80 μB per formula unit
calculated formation energy = -0.396 eV/atom
N(E_F) = 0.53 states/eV/atom

[5]
Compound: La2BeNi3Pt12
Source: Alexandria via LeMat-Bulk
Functional: GGA-PBE
Structure: optimized geometry

Geometry as CIF:
```
data_La2BeNi3Pt12
_chemical_formula_sum 'La6 Be3 Ni9 Pt36'
_cell_length_a 6.8408
_cell_length_b 6.8408
_cell_length_c 24.1394
_cell_angle_alpha 90.00
_cell_angle_beta 90.00
_cell_angle_gamma 120.00
_space_group_name_H-M_alt 'R -3 m'
_space_group_IT_number 166
_space_group_name_Hall '-R 3 2"'
loop_
_atom_site_label
_atom_site_type_symbol
_atom_site_fract_x
_atom_site_fract_y
_atom_site_fract_z
La1 La 0.0000 0.0000 0.1578
Be1 Be 0.0000 0.0000 0.5000
Ni1 Ni 0.0000 0.5000 0.0000
Pt1 Pt 0.0600 0.5300 0.1030
Pt2 Pt 0.0634 0.5317 0.6179
```

crystal system = trigonal
M_tot = 1.46 μB per formula unit
calculated formation energy = -0.244 eV/atom
N(E_F) = 1.04 states/eV/atom

[6]
Compound: La2BeNiRh
Source: Alexandria via LeMat-Bulk
Functional: GGA-PBE
Structure: optimized geometry

Geometry as CIF:
```
data_La2BeNiRh
_chemical_formula_sum 'La2 Be1 Ni1 Rh1'
_cell_length_a 5.248
_cell_length_b 5.248
_cell_length_c 4.087
_cell_angle_alpha 90.00
_cell_angle_beta 90.00
_cell_angle_gamma 90.00
_space_group_name_H-M_alt 'P 4/m m m'
_space_group_IT_number 123
_space_group_name_Hall '-P 4 2'
loop_
_atom_site_label
_atom_site_type_symbol
_atom_site_fract_x
_atom_site_fract_y
_atom_site_fract_z
La1 La 0.000 0.500 0.000
Be1 Be 0.000 0.000 0.500
Ni1 Ni 0.000 0.000 0.000
Rh1 Rh 0.500 0.500 0.500
```

crystal system = tetragonal
M_tot = 0.00 μB per formula unit
calculated formation energy = -0.114 eV/atom
N(E_F) = 0.65 states/eV/atom